1.
Material: Y2PaSeO8
Method: DFT, PBE
State: optimized geometry

a = 5.002 Å, b = 5.002 Å, c = 6.829 Å
α = 90.00°, β = 90.00°, γ = 91.89°
Fractional coordinates of all 12 atoms:
Y (0.000, 0.000, 0.239)
Y (0.000, 0.000, 0.761)
Pa (0.500, 0.500, 0.500)
Se (0.500, 0.500, 0.000)
O (0.198, 0.198, 0.500)
O (0.225, 0.225, 0.000)
O (0.321, 0.679, 0.227)
O (0.321, 0.679, 0.773)
O (0.679, 0.321, 0.227)
O (0.679, 0.321, 0.773)
O (0.775, 0.775, 0.000)
O (0.802, 0.802, 0.500)

formation energy (no corrections) = -2.59 eV/atom
theoretical density = 5.988 g/cm3

2.
Material: PaZnSeO6
Method: DFT, PBE
State: optimized geometry

a = 5.434 Å, b = 5.434 Å, c = 8.942 Å
α = 90.00°, β = 90.00°, γ = 120.00°
Fractional coordinates of all 18 atoms:
Pa (0.333, 0.667, 0.250)
Pa (0.667, 0.333, 0.750)
Zn (0.000, 0.000, 0.000)
Zn (0.000, 0.000, 0.500)
Se (0.333, 0.667, 0.750)
Se (0.667, 0.333, 0.250)
O (0.033, 0.361, 0.630)
O (0.033, 0.673, 0.870)
O (0.327, 0.361, 0.870)
O (0.327, 0.967, 0.630)
O (0.361, 0.033, 0.130)
O (0.361, 0.327, 0.370)
O (0.639, 0.673, 0.630)
O (0.639, 0.967, 0.870)
O (0.673, 0.033, 0.370)
O (0.673, 0.639, 0.130)
O (0.967, 0.327, 0.130)
O (0.967, 0.639, 0.370)

formation energy (no corrections) = -1.66 eV/atom
theoretical density = 6.846 g/cm3

3.
Material: PaZn2SeO8
Method: DFT, PBE
State: optimized geometry

a = 5.906 Å, b = 5.906 Å, c = 5.906 Å
α = 114.29°, β = 114.29°, γ = 100.22°
Fractional coordinates of all 12 atoms:
Pa (0.000, 0.000, 0.000)
Zn (0.500, 0.500, 0.000)
Zn (0.750, 0.250, 0.500)
Se (0.250, 0.750, 0.500)
O (0.310, 0.081, 0.771)
O (0.310, 0.539, 0.229)
O (0.369, 0.064, 0.304)
O (0.461, 0.690, 0.771)
O (0.760, 0.064, 0.696)
O (0.919, 0.690, 0.229)
O (0.936, 0.240, 0.304)
O (0.936, 0.631, 0.696)

formation energy (no corrections) = -1.31 eV/atom
theoretical density = 6.072 g/cm3

4.
Material: Pa3ZnSe2O6
Method: DFT, PBE
State: optimized geometry

a = 7.117 Å, b = 7.117 Å, c = 6.008 Å
α = 104.63°, β = 104.63°, γ = 65.55°
Fractional coordinates of all 12 atoms:
Pa (0.000, 0.000, 0.000)
Pa (0.000, 0.500, 0.500)
Pa (0.500, 0.000, 0.500)
Zn (0.500, 0.500, 0.500)
Se (0.198, 0.198, 0.818)
Se (0.802, 0.802, 0.182)
O (0.101, 0.716, 0.752)
O (0.284, 0.899, 0.248)
O (0.341, 0.341, 0.434)
O (0.659, 0.659, 0.566)
O (0.716, 0.101, 0.752)
O (0.899, 0.284, 0.248)

formation energy (no corrections) = -2.58 eV/atom
theoretical density = 6.362 g/cm3

5.
Material: PaZnSe2O8
Method: DFT, PBE
State: optimized geometry

a = 5.986 Å, b = 5.986 Å, c = 5.986 Å
α = 108.30°, β = 108.30°, γ = 111.83°
Fractional coordinates of all 12 atoms:
Pa (0.000, 0.000, 0.000)
Zn (0.750, 0.250, 0.500)
Se (0.250, 0.750, 0.500)
Se (0.500, 0.500, 0.000)
O (0.050, 0.359, 0.310)
O (0.050, 0.740, 0.690)
O (0.123, 0.309, 0.813)
O (0.260, 0.950, 0.310)
O (0.496, 0.309, 0.187)
O (0.641, 0.950, 0.690)
O (0.691, 0.504, 0.813)
O (0.691, 0.877, 0.187)

formation energy (no corrections) = -1.35 eV/atom
theoretical density = 5.863 g/cm3

6.
Material: PaSiO6
Method: DFT, PBE
State: optimized geometry

a = 5.532 Å, b = 5.532 Å, c = 5.532 Å
α = 60.00°, β = 60.00°, γ = 60.00°
Fractional coordinates of all 8 atoms:
Pa (0.000, 0.000, 0.000)
Si (0.500, 0.500, 0.500)
O (0.276, 0.276, 0.724)
O (0.276, 0.724, 0.276)
O (0.276, 0.724, 0.724)
O (0.724, 0.276, 0.276)
O (0.724, 0.276, 0.724)
O (0.724, 0.724, 0.276)

formation energy (no corrections) = -2.14 eV/atom
theoretical density = 4.926 g/cm3